Record 1
The following is a GGA-PBE calculation of a relaxed NaSmPbI6 crystal, from the Alexandria database.

DOS at the Fermi energy: 0.000 states/eV per atom
E_form (uncorrected): -1090.8 meV/atom
Symmetry: P4_2nm (102)
Raw total energy: -3.21 eV per atom

Unit cell a=7.578 b=7.578 c=14.195 alpha=90.00 beta=90.00 gamma=90.00
Fractional positions:
Na1 0.000 0.000 0.000
Na2 0.500 0.500 0.500
Sm1 0.000 0.000 0.666
Sm2 0.500 0.500 0.166
Pb1 0.000 0.000 0.332
Pb2 0.500 0.500 0.832
I1 0.195 0.195 0.828
I2 0.196 0.196 0.506
I3 0.209 0.209 0.164
I4 0.291 0.709 0.664
I5 0.304 0.696 0.006
I6 0.305 0.695 0.328
I7 0.695 0.305 0.328
I8 0.696 0.304 0.006
I9 0.709 0.291 0.664
I10 0.791 0.791 0.164
I11 0.804 0.804 0.506
I12 0.805 0.805 0.828


Record 2
The following is a GGA-PBE calculation of a relaxed PrY2Rh crystal, from the Alexandria database.

Energy above the most stable polymorph in this dataset: 26 meV per atom
DOS at the Fermi energy: 1.258 states/eV per atom
Symmetry: Cmcm (63)
E_form: -0.45 eV/atom
Raw total energy: -6.72 eV per atom

Unit cell a=3.805 b=12.350 c=9.592 alpha=90.00 beta=90.00 gamma=90.00
Fractional positions:
Pr1 0.000 0.076 0.250
Pr2 0.000 0.924 0.750
Pr3 0.500 0.424 0.750
Pr4 0.500 0.576 0.250
Y1 0.000 0.360 0.069
Y2 0.000 0.360 0.431
Y3 0.000 0.640 0.569
Y4 0.000 0.640 0.931
Y5 0.500 0.140 0.569
Y6 0.500 0.140 0.931
Y7 0.500 0.860 0.069
Y8 0.500 0.860 0.431
Rh1 0.000 0.242 0.750
Rh2 0.000 0.758 0.250
Rh3 0.500 0.258 0.250
Rh4 0.500 0.742 0.750


Record 3
The following is a GGA-PBE calculation of a relaxed TiAl2I crystal, from the Alexandria database.

Energy above the most stable polymorph in this dataset: 0 meV per atom
DOS at the Fermi energy: 1.214 states/eV per atom
E_form (uncorrected): 498.9 meV/atom
Symmetry: I-42d (122)
Raw total energy: -3.73 eV per atom

Unit cell a=8.033 b=8.033 c=5.595 alpha=90.00 beta=90.00 gamma=90.00
Fractional positions:
Ti1 0.000 0.000 0.000
Ti2 0.000 0.500 0.250
Ti3 0.500 0.000 0.750
Ti4 0.500 0.500 0.500
Al1 0.220 0.750 0.125
Al2 0.250 0.220 0.875
Al3 0.250 0.280 0.375
Al4 0.280 0.750 0.625
Al5 0.720 0.250 0.625
Al6 0.750 0.720 0.375
Al7 0.750 0.780 0.875
Al8 0.780 0.250 0.125
I1 0.000 0.000 0.500
I2 0.000 0.500 0.750
I3 0.500 0.000 0.250
I4 0.500 0.500 0.000


Record 4
The following is a GGA-PBE calculation of a relaxed Cr2InTe crystal, from the Alexandria database.

Energy above the most stable polymorph in this dataset: 143 meV per atom
DOS at the Fermi energy: 0.711 states/eV per atom
E_form (uncorrected): 413.5 meV/atom
Symmetry: Imm2 (44)
Raw total energy: -5.87 eV per atom

Unit cell a=3.545 b=4.334 c=11.083 alpha=90.00 beta=90.00 gamma=90.00
Fractional positions:
Cr1 0.000 0.000 0.000
Cr2 0.000 0.500 0.265
Cr3 0.500 0.000 0.765
Cr4 0.500 0.500 0.500
In1 0.000 0.500 0.810
In2 0.500 0.000 0.310
Te1 0.000 0.000 0.570
Te2 0.500 0.500 0.070


Record 5
The following is a GGA-PBE calculation of a relaxed ScMnAlV2 crystal, from the Alexandria database.

Energy above the most stable polymorph in this dataset: 8 meV per atom
DOS at the Fermi energy: 1.433 states/eV per atom
Symmetry: P4/mmm (123)
E_form: 1.53 eV/atom
Raw total energy: -5.97 eV per atom

Unit cell a=4.439 b=4.439 c=4.289 alpha=90.00 beta=90.00 gamma=90.00
Fractional positions:
Sc1 0.000 0.000 0.000
Mn1 0.000 0.000 0.500
Al1 0.500 0.500 0.500
V1 0.000 0.500 0.000
V2 0.500 0.000 0.000


Record 6
The following is a GGA-PBE calculation of a relaxed Tb2Cd3Au4 crystal, from the Alexandria database.

Energy above the most stable polymorph in this dataset: 95 meV per atom
DOS at the Fermi energy: 0.522 states/eV per atom
Symmetry: Cmce (64)
E_form: -0.46 eV/atom
Raw total energy: -3.26 eV per atom

Unit cell a=8.308 b=8.308 c=8.755 alpha=90.00 beta=90.00 gamma=138.23
Fractional positions:
Tb1 0.120 0.880 0.918
Tb2 0.380 0.620 0.418
Tb3 0.620 0.380 0.582
Tb4 0.880 0.120 0.082
Cd1 0.000 0.000 0.500
Cd2 0.040 0.460 0.750
Cd3 0.460 0.040 0.250
Cd4 0.500 0.500 0.000
Cd5 0.540 0.960 0.750
Cd6 0.960 0.540 0.250
Au1 0.186 0.814 0.541
Au2 0.221 0.279 0.750
Au3 0.279 0.221 0.250
Au4 0.314 0.686 0.041
Au5 0.686 0.314 0.959
Au6 0.721 0.779 0.750
Au7 0.779 0.721 0.250
Au8 0.814 0.186 0.459